First-principles (PBE) data for a geometry-optimized Hf4Te5P structure, as listed in the Alexandria database.

Summary:
The raw total energy comes out at -6.99 eV per atom. For the formation energy from raw total energies, the calculation gives -899 meV/atom.

Cell lengths 3.8399, 8.0421, 8.9348 Å; angles 101.93, 102.41, 90.00 degrees
Last column: nearest neighbours and their distance in Å.
Fractional coordinates of all 10 atoms:
1 Hf 0.9988 0.2154 0.9975  2 P 2.59, 1 Te 2.87
2 Hf 0.0012 0.7846 0.0025  2 P 2.59, 1 Te 2.87
3 Hf 0.6481 0.0697 0.2963  1 P 2.53
4 Hf 0.3519 0.9303 0.7037  1 P 2.53
5 Te 0.1653 0.3393 0.3306  3 Hf 2.86-2.87
6 Te 0.8280 0.1848 0.6559  4 Hf 2.90-3.08
7 Te 0.5000 0.5000 0.0000  4 Hf 2.98
8 Te 0.1720 0.8152 0.3441  4 Hf 2.90-3.08
9 Te 0.8347 0.6607 0.6694  3 Hf 2.86-2.87
10 P 0.5000 0.0000 0.0000  6 Hf 2.53-2.59